Below is a relaxed structure of KMgBiPt, with properties calculated at the PBE level.

energy above the most stable polymorph in this dataset	115	meV per atom
SG	F-43m, No. 216
V	24.2	Å³/atom
theoretical density	8.0	g cm⁻³

Cell lengths 5.1545, 5.1545, 5.1545 Å; angles 60.00, 60.00, 60.00 degrees
Closest atoms and distances in Å follow each position.
Element x y z (fractional)
1 K 0.0000 0.0000 0.0000  4 Pt 3.16, 4 Mg 3.16
2 Mg 0.2500 0.2500 0.2500  4 Bi 3.16, 4 K 3.16
3 Bi 0.5000 0.5000 0.5000  4 Mg 3.16, 4 Pt 3.16
4 Pt 0.7500 0.7500 0.7500  4 K 3.16, 4 Bi 3.16